(1)
TaNi2P | PBE-GGA | optimized geometry

Results
Energy of formation from the pure elements = -1.14 eV/f.u.
Fermi-level density of states = 2.17 states/eV/cell
Total magnetization = 0.00 μB per formula unit

Cell lengths 3.2886, 3.2886, 4.9741 Å; angles 90.00, 90.00, 90.00 degrees
Element x y z (fractional)
1 Ta 0.5000 0.5000 0.5000
2 Ni 0.0000 0.0000 0.7521
3 Ni 0.0000 0.0000 0.2479
4 P 0.5000 0.5000 0.0000


(2)
ErAlHg | PBE-GGA | optimized geometry

Results
Energy of formation from the pure elements = -1.26 eV/f.u.
Distance to the lowest polymorph of the same formula = 0.0288 eV per atom
Fermi-level density of states = 3.15 states/eV/cell
Total magnetization = 0.00 μB per formula unit

Cell lengths 4.6278, 4.6278, 7.1862 Å; angles 90.00, 90.00, 120.00 degrees
Element x y z (fractional)
1 Er 0.0000 0.5000 0.5000
2 Er 0.0000 0.5000 0.0000
3 Al 0.6666 0.8334 0.7500
4 Al 0.3334 0.1666 0.2500
5 Hg 0.3333 0.1667 0.7500
6 Hg 0.6667 0.8333 0.2500


(3)
K4Ho3TmSe8 | PBE-GGA | optimized geometry

Results
Fermi-level density of states = 0.00 states/eV/cell
Total energy = -4.913 eV/atom
Total magnetization = 0.00 μB per formula unit

Cell lengths 8.3751, 9.0750, 8.3759 Å; angles 117.49, 120.00, 90.00 degrees
Element x y z (fractional)
1 K 0.5000 0.0000 0.0000
2 K 0.5000 0.0000 0.5000
3 K 0.0000 0.0000 0.0000
4 K 0.0000 0.0000 0.5000
5 Ho 0.5000 0.5000 0.0000
6 Ho 0.5000 0.5000 0.5000
7 Ho 0.0000 0.5000 0.5000
8 Tm 0.0000 0.5000 0.0000
9 Se 0.2337 0.7036 0.9701
10 Se 0.2337 0.7037 0.4674
11 Se 0.2651 0.2955 0.5302
12 Se 0.7364 0.7036 0.9701
13 Se 0.2636 0.2964 0.0299
14 Se 0.7349 0.7045 0.4698
15 Se 0.7663 0.2963 0.5326
16 Se 0.7663 0.2964 0.0299


(4)
CoCuHg2Br | PBE-GGA | optimized geometry

Results
Fermi-level density of states = 4.51 states/eV/cell
Total energy = -1.687 eV/atom
Total magnetization = 2.42 μB per formula unit

Cell lengths 6.5716, 4.3835, 6.5716 Å; angles 90.00, 90.00, 90.00 degrees
Element x y z (fractional)
1 Cu 0.5000 0.5000 0.5000
2 Co 0.0000 0.5000 0.0000
3 Hg 0.0000 0.0000 0.5000
4 Hg 0.5000 0.0000 0.0000
5 Br 0.0000 0.0000 0.0000


(5)
Tb2Pr3Y6In | PBE-GGA | optimized geometry

Results
Energy of formation from the pure elements = -0.53 eV/f.u.
Fermi-level density of states = 17.54 states/eV/cell
Total magnetization = 0.02 μB per formula unit

Cell lengths 6.1935, 6.1935, 11.7625 Å; angles 95.05, 95.05, 120.00 degrees
Element x y z (fractional)
1 Tb 0.3337 0.6663 0.0000
2 Tb 0.6663 0.3337 0.0000
3 Pr 0.1668 0.8332 0.5000
4 Pr 0.8332 0.1668 0.5000
5 Pr 0.5000 0.5000 0.5000
6 Y 0.9198 0.5931 0.7579
7 Y 0.7537 0.7537 0.2427
8 Y 0.0802 0.4069 0.2421
9 Y 0.5931 0.9198 0.7579
10 Y 0.2463 0.2463 0.7573
11 Y 0.4069 0.0802 0.2421
12 In 0.0000 0.0000 0.0000


(6)
LiNiHg2 | PBE-GGA | optimized geometry

Results
Energy of formation from the pure elements = -0.25 eV/f.u.
Fermi-level density of states = 2.38 states/eV/cell
Total magnetization = 0.00 μB per formula unit

Cell lengths 3.3533, 3.1358, 7.0958 Å; angles 63.85, 90.00, 90.00 degrees
Element x y z (fractional)
1 Hg 0.0000 0.0057 0.9941
2 Hg 0.0000 0.4943 0.5059
3 Li 0.5000 0.2500 0.2500
4 Ni 0.5000 0.7500 0.7500


(7)
HfSi3Os | PBE-GGA | optimized geometry

Results
Distance to the lowest polymorph of the same formula = 0.0000 eV per atom
Fermi-level density of states = 6.96 states/eV/cell
Total magnetization = 0.00 μB per formula unit

Cell lengths 4.6225, 4.6225, 4.6225 Å; angles 90.00, 90.00, 90.00 degrees
Element x y z (fractional)
1 Hf 0.5000 0.5000 0.5000
2 Si 0.0000 0.5000 0.0000
3 Si 0.0000 0.0000 0.5000
4 Si 0.5000 0.0000 0.0000
5 Os 0.0000 0.0000 0.0000


(8)
LiSbAu2 | PBE-GGA | optimized geometry

Results
Fermi-level density of states = 1.49 states/eV/cell
Total energy = -3.367 eV/atom
Total magnetization = 0.00 μB per formula unit

Cell lengths 3.2929, 4.0544, 5.7536 Å; angles 90.00, 90.00, 90.00 degrees
Element x y z (fractional)
1 Au 0.0000 0.0000 0.9990
2 Au 0.5000 0.5000 0.2724
3 Li 0.0000 0.0000 0.4694
4 Sb 0.5000 0.5000 0.7591


(9)
PrAlCd11 | PBE-GGA | optimized geometry

Results
Energy of formation from the pure elements = -1.31 eV/f.u.
Fermi-level density of states = 3.80 states/eV/cell
Total magnetization = 0.00 μB per formula unit

Cell lengths 5.9168, 7.5932, 7.6841 Å; angles 81.48, 67.36, 67.36 degrees
Element x y z (fractional)
1 Pr 0.0000 0.0000 0.0000
2 Al 0.5000 0.5000 0.0000
3 Cd 0.2907 0.2149 0.2113
4 Cd 0.7093 0.7851 0.7887
5 Cd 0.4980 0.7851 0.2113
6 Cd 0.5020 0.2149 0.7887
7 Cd 0.3574 0.6448 0.6516
8 Cd 0.6426 0.3552 0.3484
9 Cd 0.9910 0.3552 0.6516
10 Cd 0.0090 0.6448 0.3484
11 Cd 0.0000 0.5000 0.0000
12 Cd 0.5000 0.0000 0.5000
13 Cd 0.0000 0.0000 0.5000


(10)
Cr2InNi | PBE-GGA | optimized geometry

Results
Energy of formation from the pure elements = 1.49 eV/f.u.
Fermi-level density of states = 4.69 states/eV/cell
Total magnetization = 0.00 μB per formula unit

Cell lengths 2.7303, 2.7303, 7.9785 Å; angles 90.00, 90.00, 109.11 degrees
Element x y z (fractional)
1 Cr 0.0000 0.0000 0.0031
2 Cr 0.5000 0.5000 0.2138
3 In 0.0000 0.0000 0.5066
4 Ni 0.5000 0.5000 0.7764


(11)
TcHgC3 | PBE-GGA | optimized geometry

Results
Energy of formation from the pure elements = 9.75 eV/f.u.
Distance to the lowest polymorph of the same formula = 0.0000 eV per atom
Fermi-level density of states = 3.29 states/eV/cell
Total magnetization = 0.00 μB per formula unit

Cell lengths 4.0995, 4.0995, 4.0995 Å; angles 90.00, 90.00, 90.00 degrees
Element x y z (fractional)
1 C 0.0000 0.5000 0.0000
2 C 0.0000 0.0000 0.5000
3 C 0.5000 0.0000 0.0000
4 Hg 0.5000 0.5000 0.5000
5 Tc 0.0000 0.0000 0.0000


(12)
LiHoHgRh | PBE-GGA | optimized geometry

Results
Energy of formation from the pure elements = -1.78 eV/f.u.
Fermi-level density of states = 1.76 states/eV/cell
Total magnetization = 0.00 μB per formula unit

Cell lengths 4.7403, 4.7403, 4.7403 Å; angles 60.00, 60.00, 60.00 degrees
Element x y z (fractional)
1 Li 0.0000 0.0000 0.0000
2 Rh 0.5000 0.5000 0.5000
3 Hg 0.2500 0.2500 0.2500
4 Ho 0.7500 0.7500 0.7500


(13)
CsNi2Pd | PBE-GGA | optimized geometry

Results
Energy of formation from the pure elements = 2.67 eV/f.u.
Fermi-level density of states = 11.78 states/eV/cell
Total magnetization = 1.91 μB per formula unit

Cell lengths 5.0126, 5.0126, 9.1549 Å; angles 74.11, 74.11, 90.00 degrees
Element x y z (fractional)
1 Cs 0.0000 0.0000 0.0000
2 Cs 0.7500 0.2500 0.5000
3 Ni 0.3750 0.1250 0.2500
4 Ni 0.3750 0.6250 0.2500
5 Ni 0.3750 0.6250 0.7500
6 Ni 0.8750 0.6250 0.7500
7 Pd 0.5000 0.5000 0.0000
8 Pd 0.2500 0.7500 0.5000


(14)
BaScAlHg2 | PBE-GGA | optimized geometry

Results
Energy of formation from the pure elements = -0.09 eV/f.u.
Fermi-level density of states = 7.38 states/eV/cell
Total magnetization = 0.00 μB per formula unit

Cell lengths 5.5223, 5.4182, 5.5223 Å; angles 90.00, 90.00, 90.00 degrees
Element x y z (fractional)
1 Sc 0.0000 0.0000 0.0000
2 Al 0.0000 0.5000 0.0000
3 Hg 0.0000 0.0000 0.5000
4 Hg 0.5000 0.0000 0.0000
5 Ba 0.5000 0.5000 0.5000


(15)
KBaNb | PBE-GGA | optimized geometry

Results
Energy of formation from the pure elements = 4.17 eV/f.u.
Distance to the lowest polymorph of the same formula = 0.9854 eV per atom
Fermi-level density of states = 0.83 states/eV/cell
Total magnetization = 5.95 μB per formula unit

Cell lengths 6.0805, 6.0805, 6.0805 Å; angles 60.00, 60.00, 60.00 degrees
Element x y z (fractional)
1 K 0.2500 0.2500 0.2500
2 Nb 0.5000 0.5000 0.5000
3 Ba 0.7500 0.7500 0.7500


(16)
YHoGaOs | PBE-GGA | optimized geometry

Results
Energy of formation from the pure elements = -1.45 eV/f.u.
Fermi-level density of states = 2.71 states/eV/cell
Total magnetization = 0.00 μB per formula unit

Cell lengths 4.9205, 4.9205, 4.9205 Å; angles 60.00, 60.00, 60.00 degrees
Element x y z (fractional)
1 Y 0.5000 0.5000 0.5000
2 Os 0.7500 0.7500 0.7500
3 Ho 0.0000 0.0000 0.0000
4 Ga 0.2500 0.2500 0.2500


(17)
CeDyIn2 | PBE-GGA | optimized geometry

Results
Energy of formation from the pure elements = -1.54 eV/f.u.
Fermi-level density of states = 8.39 states/eV/cell
Total magnetization = 1.42 μB per formula unit

Cell lengths 4.5397, 4.9105, 4.9105 Å; angles 90.00, 90.00, 90.00 degrees
Element x y z (fractional)
1 In 0.0000 0.0000 0.5000
2 In 0.0000 0.5000 0.0000
3 Ce 0.5000 0.0000 0.0000
4 Dy 0.5000 0.5000 0.5000


(18)
SrLi3Zr | PBE-GGA | optimized geometry

Results
Energy of formation from the pure elements = 3.94 eV/f.u.
Distance to the lowest polymorph of the same formula = 0.0000 eV per atom
Fermi-level density of states = 6.12 states/eV/cell
Total magnetization = 3.86 μB per formula unit

Cell lengths 5.4313, 5.4313, 5.4313 Å; angles 90.00, 90.00, 90.00 degrees
Element x y z (fractional)
1 Sr 0.5000 0.5000 0.5000
2 Zr 0.0000 0.0000 0.0000
3 Li 0.0000 0.5000 0.0000
4 Li 0.0000 0.0000 0.5000
5 Li 0.5000 0.0000 0.0000


(19)
PrYScCd | PBE-GGA | optimized geometry

Results
Energy of formation from the pure elements = -0.53 eV/f.u.
Distance to the lowest polymorph of the same formula = 0.0000 eV per atom
Fermi-level density of states = 4.99 states/eV/cell
Total magnetization = 0.00 μB per formula unit

Cell lengths 3.5829, 3.5829, 8.7887 Å; angles 90.00, 90.00, 90.00 degrees
Element x y z (fractional)
1 Pr 0.0000 0.0000 0.0876
2 Y 0.5000 0.5000 0.7882
3 Sc 0.5000 0.5000 0.3578
4 Cd 0.0000 0.0000 0.5511


(20)
PrSi2Rh5 | PBE-GGA | optimized geometry

Results
Fermi-level density of states = 5.08 states/eV/cell
Total energy = -7.328 eV/atom
Total magnetization = 0.00 μB per formula unit

Cell lengths 3.9064, 6.3013, 6.3013 Å; angles 64.51, 71.94, 71.94 degrees
Element x y z (fractional)
1 Pr 0.0000 0.0000 0.0000
2 Si 0.7664 0.7336 0.7336
3 Si 0.2336 0.2664 0.2664
4 Rh 0.0000 0.5000 0.5000
5 Rh 0.6476 0.5533 0.1516
6 Rh 0.3524 0.4467 0.8484
7 Rh 0.3524 0.8484 0.4467
8 Rh 0.6476 0.1516 0.5533


(21)
TbZn3GaCu | PBE-GGA | optimized geometry

Results
Energy of formation from the pure elements = -0.90 eV/f.u.
Fermi-level density of states = 4.76 states/eV/cell
Total magnetization = 0.00 μB per formula unit

Cell lengths 5.8732, 6.0549, 6.7542 Å; angles 116.63, 90.00, 90.00 degrees
Element x y z (fractional)
1 Tb 0.7500 0.2932 0.5864
2 Tb 0.2500 0.7068 0.4136
3 Zn 0.2500 0.1348 0.2696
4 Zn 0.0000 0.2895 0.0000
5 Zn 0.5000 0.7105 0.0000
6 Zn 0.5000 0.2895 0.0000
7 Zn 0.0000 0.7105 0.0000
8 Zn 0.7500 0.8652 0.7304
9 Ga 0.2500 0.3483 0.6966
10 Ga 0.7500 0.6517 0.3034
11 Cu 0.2500 0.9282 0.8565
12 Cu 0.7500 0.0718 0.1435


(22)
BeRuPt2 | PBE-GGA | optimized geometry

Results
Energy of formation from the pure elements = 1.08 eV/f.u.
Fermi-level density of states = 6.87 states/eV/cell
Total magnetization = 0.20 μB per formula unit

Cell lengths 3.7402, 3.7402, 9.0536 Å; angles 78.08, 78.08, 90.00 degrees
Element x y z (fractional)
1 Ru 0.0000 0.0000 0.0000
2 Ru 0.7500 0.2500 0.5000
3 Pt 0.6179 0.1250 0.2500
4 Pt 0.1321 0.6250 0.2500
5 Pt 0.3750 0.3821 0.7500
6 Pt 0.8750 0.8679 0.7500
7 Be 0.5000 0.5000 0.0000
8 Be 0.2500 0.7500 0.5000


(23)
LuInIrPd | PBE-GGA | optimized geometry

Results
Energy of formation from the pure elements = -2.91 eV/f.u.
Fermi-level density of states = 2.45 states/eV/cell
Total magnetization = 0.00 μB per formula unit

Cell lengths 4.7050, 4.7050, 4.7050 Å; angles 60.00, 60.00, 60.00 degrees
Element x y z (fractional)
1 Ir 0.0000 0.0000 0.0000
2 Lu 0.7500 0.7500 0.7500
3 Pd 0.5000 0.5000 0.5000
4 In 0.2500 0.2500 0.2500


(24)
Cs3CeBr8 | PBE-GGA | optimized geometry

Results
Distance to the lowest polymorph of the same formula = 0.0000 eV per atom
Fermi-level density of states = 7.02 states/eV/cell
Total magnetization = 1.09 μB per formula unit

Cell lengths 9.1327, 8.9873, 9.1327 Å; angles 59.46, 90.00, 120.54 degrees
Element x y z (fractional)
1 Cs 0.7500 0.5000 0.7500
2 Cs 0.2500 0.5000 0.2500
3 Cs 0.5000 0.0000 0.5000
4 Ce 0.0000 0.0000 0.0000
5 Br 0.3299 0.4125 0.9175
6 Br 0.0825 0.4125 0.6701
7 Br 0.6701 0.5875 0.3299
8 Br 0.9175 0.5875 0.0825
9 Br 0.7315 0.8976 0.8339
10 Br 0.1661 0.8976 0.2685
11 Br 0.2685 0.1024 0.7315
12 Br 0.8339 0.1024 0.1661


(25)
U2Si2Tc2C | PBE-GGA | optimized geometry

Results
Fermi-level density of states = 10.49 states/eV/cell
Total energy = -9.400 eV/atom
Total magnetization = 3.94 μB per formula unit

Cell lengths 4.1090, 5.8274, 5.7770 Å; angles 70.21, 69.17, 69.36 degrees
Element x y z (fractional)
1 U 0.5644 0.1600 0.7111
2 U 0.4356 0.8400 0.2889
3 Si 0.1438 0.3929 0.3195
4 Si 0.8562 0.6071 0.6805
5 Tc 0.2127 0.6855 0.8890
6 Tc 0.7873 0.3145 0.1110
7 C 0.0000 0.0000 0.0000


(26)
LiZnCl | PBE-GGA | optimized geometry

Results
Distance to the lowest polymorph of the same formula = 0.0000 eV per atom
Total magnetization = 0.00 μB per formula unit

Cell lengths 7.4153, 7.4145, 3.4092 Å; angles 76.72, 76.70, 26.58 degrees
Element x y z (fractional)
1 Cl 0.9173 0.9173 0.0827
2 Li 0.4239 0.4239 0.5761
3 Zn 0.6588 0.6588 0.3412


(27)
Pu2TlCd | PBE-GGA | optimized geometry

Results
Energy of formation from the pure elements = -0.11 eV/f.u.
Fermi-level density of states = 12.43 states/eV/cell
Total magnetization = 11.41 μB per formula unit

Cell lengths 4.9680, 4.5200, 4.5200 Å; angles 90.00, 90.00, 90.00 degrees
Element x y z (fractional)
1 Tl 0.5000 0.0000 0.0000
2 Cd 0.5000 0.5000 0.5000
3 Pu 0.0000 0.0000 0.5000
4 Pu 0.0000 0.5000 0.0000